La12SnRh6 | GGA-PBE | optimized geometry

a b c (Å): 10.3733 10.3733 10.3733
angles (deg): 90.00 90.00 90.00
Closest atoms and distances in Å follow each position.
Space group Im-3 (No. 204)
Symmetry-distinct sites (fractional):
La 0.0000 0.1820 0.3090 x24  1 Rh 2.72
Sn 0.0000 0.0000 0.0000 x2  12 La 3.72
Rh 0.0000 0.3610 0.5000 x12  2 La 2.72, 1 Rh 2.88

Output
**DFT total energy**: -6.2696 eV per atom

=====

Sr2LaSn3Rh4 | GGA-PBE | optimized geometry

a b c (Å): 4.5945 4.5945 11.3668
angles (deg): 90.00 90.00 90.00
Closest atoms and distances in Å follow each position.
Space group P-4m2 (No. 115)
Symmetry-distinct sites (fractional):
Sr 0.0000 0.5000 0.2266 x2  8 Rh 3.45-3.57, 6 Sn 3.47-3.86, 2 La 3.86
La 0.0000 0.0000 0.5000 x1  4 Rh 2.81
Sn 0.0000 0.5000 0.8794 x2  5 Rh 2.68-2.69
Sn 0.5000 0.5000 0.5000 x1  4 Rh 2.81
Rh 0.0000 0.0000 0.0000 x1  4 Sn 2.68
Rh 0.0000 0.5000 0.6428 x2  3 Sn 2.69-2.81, 2 La 2.81
Rh 0.5000 0.5000 0.0000 x1  4 Sn 2.68

Output
**DFT total energy**: -5.6363 eV per atom

=====

La2TbSn3Rh4 | GGA-PBE | optimized geometry

a b c (Å): 4.4547 4.4547 11.4882
angles (deg): 90.00 90.00 90.00
Closest atoms and distances in Å follow each position.
Space group P-4m2 (No. 115)
Symmetry-distinct sites (fractional):
La 0.0000 0.5000 0.2345 x2  6 Sn 3.39-3.78, 8 Rh 3.43-3.50, 2 Tb 3.78
Tb 0.0000 0.0000 0.5000 x1  4 Rh 2.79
Sn 0.0000 0.5000 0.8756 x2  5 Rh 2.63-2.65
Sn 0.5000 0.5000 0.5000 x1  4 Rh 2.79
Rh 0.0000 0.0000 0.0000 x1  4 Sn 2.65
Rh 0.0000 0.5000 0.6469 x2  3 Sn 2.63-2.79, 2 Tb 2.79
Rh 0.5000 0.5000 0.0000 x1  4 Sn 2.65

Output
**DFT total energy**: -6.3773 eV per atom

=====

La2TlSn2Rh5 | GGA-PBE | optimized geometry

a b c (Å): 10.4421 10.4421 3.7804
angles (deg): 90.00 90.00 90.00
Closest atoms and distances in Å follow each position.
Space group P4/mbm (No. 127)
Symmetry-distinct sites (fractional):
La 0.1737 0.3263 0.0000 x4  3 Sn 2.98-3.16, 2 Rh 3.19
Tl 0.0000 0.0000 0.0000 x2  8 Rh 2.94
Sn 0.1244 0.6244 0.0000 x4  6 Rh 2.64-2.66
Rh 0.0000 0.5000 0.5000 x2  4 Sn 2.64
Rh 0.0617 0.7928 0.5000 x8  2 Sn 2.66, 2 Tl 2.94

Output
**DFT total energy**: -6.1715 eV per atom